Record 1
Compound: Y5Ga2
Source: Alexandria
Functional: GGA-PBE
Structure: relaxed

Cell: 6.2881 8.0310 8.5232 Å, 96.84 111.65 90.00°
With the nearest neighbours (Å) after each atom.
Sites, in units of the cell vectors:
Y  0.2263  0.4222  0.1877  3 Ga 2.97-3.32
Y  0.0386  0.0778  0.8123  3 Ga 2.97-3.32
Y  0.2017  0.6803  0.5580  3 Ga 3.01-3.13
Y  0.6437  0.8197  0.4420  3 Ga 3.01-3.13
Y  0.7983  0.3197  0.4420  3 Ga 3.01-3.13
Y  0.3563  0.1803  0.5580  3 Ga 3.01-3.13
Y  0.9614  0.9222  0.1877  3 Ga 2.97-3.32
Y  0.7737  0.5778  0.8123  3 Ga 2.97-3.32
Y  0.6179  0.2500  0.0000  4 Ga 2.99-3.00
Y  0.3821  0.7500  0.0000  4 Ga 2.99-3.00
Ga  0.2014  0.4188  0.7911  8 Y 2.97-3.32
Ga  0.4103  0.0812  0.2089  8 Y 2.97-3.32
Ga  0.7986  0.5812  0.2089  8 Y 2.97-3.32
Ga  0.5897  0.9188  0.7911  8 Y 2.97-3.32

Properties
For the calculated volume, the calculation gives 198.38 Å³/f.u. Its formation energy is -366 meV/atom. The total energy comes out at -81.87 eV for the cell shown.

***

Record 2
Compound: Rb3Y3VSe8
Source: Alexandria
Functional: GGA-PBE
Structure: relaxed

Cell: 8.1730 8.1726 9.4588 Å, 115.61 90.00 120.00°
With the nearest neighbours (Å) after each atom.
Sites, in units of the cell vectors:
Rb  0.0000  0.0000  0.0000  6 Se 3.42-3.45
Rb  0.0000  0.5000  0.0000  6 Se 3.42-3.45
Rb  0.5000  0.5000  0.0000  6 Se 3.42-3.45
Y  0.5000  0.0000  0.5000  6 Se 2.86-2.89
Y  0.5000  0.5000  0.5000  6 Se 2.86-2.89
Y  0.0000  0.5000  0.5000  6 Se 2.86-2.89
V  0.0000  0.0000  0.5000  6 Se 2.62
Se  0.2674  0.5348  0.3023  3 Y 2.86
Se  0.7326  0.4652  0.6977  3 Y 2.86
Se  0.7872  0.5744  0.3179  1 V 2.62, 2 Y 2.89
Se  0.2128  0.4256  0.6821  1 V 2.62, 2 Y 2.89
Se  0.7873  0.0306  0.3180  1 V 2.62, 2 Y 2.88-2.89
Se  0.2127  0.9694  0.6820  1 V 2.62, 2 Y 2.88-2.89
Se  0.2434  0.0306  0.3180  1 V 2.62, 2 Y 2.88-2.89
Se  0.7566  0.9694  0.6820  1 V 2.62, 2 Y 2.88-2.89

Properties
For the calculated volume, the calculation gives 474.11 Å³/f.u. The total energy comes out at -81.21 eV for the cell shown.

***

Record 3
Compound: Pu3Te3H
Source: Alexandria
Functional: GGA-PBE
Structure: relaxed

Cell: 7.4565 7.4565 7.5121 Å, 96.19 96.19 110.48°
With the nearest neighbours (Å) after each atom.
Sites, in units of the cell vectors:
Pu  0.8950  0.8950  0.1467  2 H 2.32-2.36
Pu  0.8514  0.5422  0.7040  1 H 2.30
Pu  0.5422  0.8514  0.7040  1 H 2.30
Pu  0.1486  0.4578  0.2960  1 H 2.30
Pu  0.4578  0.1486  0.2960  1 H 2.30
Pu  0.1050  0.1050  0.8533  2 H 2.32-2.36
Te  0.6057  0.6057  0.3318  5 Pu 3.05-3.34, 1 Te 3.37
Te  0.1549  0.8451  0.5000  6 Pu 3.10-3.25
Te  0.8451  0.1549  0.5000  6 Pu 3.10-3.25
Te  0.2354  0.7646  0.0000  6 Pu 3.23-3.31, 2 H 3.38
Te  0.7646  0.2354  0.0000  6 Pu 3.23-3.31, 2 H 3.38
Te  0.3943  0.3943  0.6682  5 Pu 3.05-3.34, 1 Te 3.37
H  0.8241  0.8241  0.8327  4 Pu 2.30-2.36
H  0.1759  0.1759  0.1673  4 Pu 2.30-2.36

Properties
For the calculated volume, the calculation gives 192.11 Å³/f.u. The total energy comes out at -122.48 eV for the cell shown.

***

Record 4
Compound: LaTlCo2
Source: Alexandria
Functional: GGA-PBE
Structure: relaxed

Cell: 4.5703 4.5703 5.3641 Å, 64.69 64.69 59.97°
With the nearest neighbours (Å) after each atom.
Sites, in units of the cell vectors:
Co  0.0717  0.0717  0.7848  1 La 2.49, 3 Tl 2.64, 3 Co 2.66
Co  0.4283  0.4283  0.7152  1 La 2.49, 3 Tl 2.64, 3 Co 2.66
La  0.2500  0.2500  0.2500  2 Co 2.49
Tl  0.7500  0.7500  0.7500  6 Co 2.64

Properties
For the calculated volume, the calculation gives 84.36 Å³/f.u. The energy above the most stable polymorph in this dataset is 57 meV/atom. Its formation energy is 38 meV/atom. The total energy comes out at -21.35 eV for the cell shown.